BaMg2Al4, optimized geometry, DFT PBE-GGA; ΔE_f = -9 meV per atom; size of the total moment = 0.000 μB/atom; DOS at the Fermi energy = 0.600 states/eV per atom
1.0
-1.0619 3.3189 -2.7410
-4.4460 -0.4781 1.1435
3.8277 4.3709 7.3950
Mg Al Ba
2 4 1
Direct
0.8172 0.8172 0.6345
0.1828 0.1828 0.3655
0.9222 0.4222 0.8445
0.3428 0.3428 0.6855
0.6572 0.6572 0.3145
0.0778 0.5778 0.1555
0.5000 0.0000 0.0000